(1)
This record from OQMD describes a relaxed PrBiN2O crystal. The functional is PBE.

Results
For the electronic total energy, the calculation gives -6.587 eV per atom.

Lattice parameters (Å, degrees): 6.873 6.873 12.391 90.00 90.00 120.00
Positions (direct):
1 Pr 0.000 0.000 0.000
2 Pr 0.000 0.000 0.500
3 Pr 0.333 0.667 0.469
4 Pr 0.333 0.667 0.969
5 Pr 0.667 0.333 0.469
6 Pr 0.667 0.333 0.969
7 Bi 0.000 0.334 0.233
8 Bi 0.000 0.666 0.733
9 Bi 0.334 0.000 0.233
10 Bi 0.334 0.334 0.733
11 Bi 0.666 0.000 0.733
12 Bi 0.666 0.666 0.233
13 N 0.000 0.312 0.397
14 N 0.000 0.355 0.069
15 N 0.000 0.645 0.569
16 N 0.000 0.688 0.897
17 N 0.312 0.000 0.397
18 N 0.312 0.312 0.897
19 N 0.355 0.000 0.069
20 N 0.355 0.355 0.569
21 N 0.645 0.000 0.569
22 N 0.645 0.645 0.069
23 N 0.688 0.000 0.897
24 N 0.688 0.688 0.397
25 O 0.000 0.000 0.207
26 O 0.000 0.000 0.707
27 O 0.333 0.667 0.256
28 O 0.333 0.667 0.756
29 O 0.667 0.333 0.256
30 O 0.667 0.333 0.756

(2)
This record from OQMD describes a relaxed PrBiN2O crystal. The functional is PBE.

Results
For the electronic total energy, the calculation gives -6.341 eV per atom.

Lattice parameters (Å, degrees): 6.054 6.054 15.027 90.00 90.00 120.00
Positions (direct):
1 Pr 0.000 0.000 0.250
2 Pr 0.000 0.000 0.750
3 Pr 0.333 0.667 0.133
4 Pr 0.333 0.667 0.367
5 Pr 0.667 0.333 0.633
6 Pr 0.667 0.333 0.867
7 Bi 0.000 0.000 0.000
8 Bi 0.000 0.000 0.500
9 Bi 0.333 0.667 0.640
10 Bi 0.333 0.667 0.860
11 Bi 0.667 0.333 0.140
12 Bi 0.667 0.333 0.360
13 N 0.144 0.287 0.605
14 N 0.144 0.287 0.895
15 N 0.144 0.856 0.605
16 N 0.144 0.856 0.895
17 N 0.287 0.144 0.105
18 N 0.287 0.144 0.395
19 N 0.713 0.856 0.605
20 N 0.713 0.856 0.895
21 N 0.856 0.144 0.105
22 N 0.856 0.144 0.395
23 N 0.856 0.713 0.105
24 N 0.856 0.713 0.395
25 O 0.020 0.510 0.250
26 O 0.490 0.510 0.250
27 O 0.490 0.980 0.250
28 O 0.510 0.020 0.750
29 O 0.510 0.490 0.750
30 O 0.980 0.490 0.750

(3)
This record from OQMD describes a relaxed PrBiN2O crystal. The functional is PBE.

Results
For the electronic total energy, the calculation gives -6.324 eV per atom.

Lattice parameters (Å, degrees): 4.231 4.231 4.204 90.00 90.00 90.00
Positions (direct):
1 Pr 0.000 0.000 0.000
2 Bi 0.500 0.500 0.500
3 N 0.000 0.500 0.500
4 N 0.500 0.000 0.500
5 O 0.500 0.500 0.000

(4)
This record from OQMD describes a relaxed PrBiN2O crystal. The functional is PBE.

Results
For the electronic total energy, the calculation gives -6.626 eV per atom.

Lattice parameters (Å, degrees): 8.229 5.933 6.138 90.00 90.00 90.00
Positions (direct):
1 Pr 0.000 0.234 0.000
2 Pr 0.000 0.766 0.500
3 Pr 0.500 0.262 0.112
4 Pr 0.500 0.738 0.612
5 Bi 0.253 0.264 0.558
6 Bi 0.253 0.736 0.058
7 Bi 0.747 0.264 0.558
8 Bi 0.747 0.736 0.058
9 N 0.000 0.359 0.610
10 N 0.000 0.641 0.110
11 N 0.301 0.430 0.870
12 N 0.301 0.570 0.370
13 N 0.500 0.125 0.498
14 N 0.500 0.875 0.998
15 N 0.699 0.430 0.870
16 N 0.699 0.570 0.370
17 O 0.187 0.050 0.262
18 O 0.187 0.950 0.762
19 O 0.813 0.050 0.262
20 O 0.813 0.950 0.762

(5)
This record from OQMD describes a relaxed PrBiN2O crystal. The functional is PBE.

Results
For the electronic total energy, the calculation gives -6.555 eV per atom.

Lattice parameters (Å, degrees): 3.828 4.014 5.259 90.00 90.07 90.00
Positions (direct):
1 Pr 0.000 0.000 0.000
2 Bi 0.501 0.500 0.461
3 N 0.001 0.500 0.277
4 N 0.498 0.500 0.859
5 O 0.501 0.000 0.291

(6)
This record from OQMD describes a relaxed PrBiN2O crystal. The functional is PBE.

Results
For the electronic total energy, the calculation gives -6.385 eV per atom.

Lattice parameters (Å, degrees): 5.974 4.079 6.173 90.00 90.00 90.00
Positions (direct):
1 Pr 0.250 0.000 0.217
2 Pr 0.750 0.000 0.783
3 Bi 0.250 0.500 0.735
4 Bi 0.750 0.500 0.265
5 N 0.000 0.500 0.500
6 N 0.250 0.000 0.830
7 N 0.500 0.500 0.500
8 N 0.750 0.000 0.170
9 O 0.000 0.500 0.000
10 O 0.500 0.500 0.000

(7)
This record from OQMD describes a relaxed PrBiN2O crystal. The functional is PBE.

Results
For the electronic total energy, the calculation gives -6.644 eV per atom.

Lattice parameters (Å, degrees): 3.796 6.764 6.142 90.00 90.00 90.00
Positions (direct):
1 Pr 0.000 0.149 0.000
2 Pr 0.000 0.851 0.500
3 Bi 0.500 0.329 0.533
4 Bi 0.500 0.671 0.033
5 N 0.000 0.197 0.596
6 N 0.000 0.803 0.096
7 N 0.500 0.387 0.896
8 N 0.500 0.613 0.396
9 O 0.500 0.090 0.271
10 O 0.500 0.910 0.771

(8)
This record from OQMD describes a relaxed PrBiN2O crystal. The functional is PBE.

Results
For the electronic total energy, the calculation gives -6.639 eV per atom.

Lattice parameters (Å, degrees): 8.807 7.856 11.936 90.00 132.04 90.00
Positions (direct):
1 Pr 0.134 0.009 0.202
2 Pr 0.134 0.491 0.702
3 Pr 0.175 0.513 0.209
4 Pr 0.175 0.987 0.709
5 Pr 0.825 0.013 0.291
6 Pr 0.825 0.487 0.791
7 Pr 0.866 0.509 0.298
8 Pr 0.866 0.991 0.798
9 Bi 0.318 0.248 0.538
10 Bi 0.318 0.252 0.038
11 Bi 0.324 0.745 0.033
12 Bi 0.324 0.755 0.533
13 Bi 0.676 0.245 0.467
14 Bi 0.676 0.255 0.967
15 Bi 0.682 0.748 0.962
16 Bi 0.682 0.752 0.462
17 N 0.189 0.000 0.496
18 N 0.189 0.500 0.996
19 N 0.247 0.000 0.952
20 N 0.247 0.500 0.452
21 N 0.375 0.238 0.248
22 N 0.375 0.262 0.748
23 N 0.382 0.714 0.880
24 N 0.382 0.786 0.380
25 N 0.618 0.214 0.620
26 N 0.618 0.286 0.120
27 N 0.625 0.738 0.252
28 N 0.625 0.762 0.752
29 N 0.753 0.000 0.048
30 N 0.753 0.500 0.548
31 N 0.811 0.000 0.504
32 N 0.811 0.500 0.004
33 O 0.042 0.244 0.769
34 O 0.042 0.256 0.269
35 O 0.059 0.710 0.532
36 O 0.059 0.790 0.032
37 O 0.941 0.210 0.968
38 O 0.941 0.290 0.468
39 O 0.958 0.744 0.731
40 O 0.958 0.756 0.231

(9)
This record from OQMD describes a relaxed PrBiN2O crystal. The functional is PBE.

Results
For the electronic total energy, the calculation gives -6.611 eV per atom.

Lattice parameters (Å, degrees): 5.835 5.951 6.227 62.07 63.56 60.69
Positions (direct):
1 Pr 0.000 0.000 0.000
2 Pr 0.270 0.265 0.213
3 Bi 0.498 0.461 0.555
4 Bi 0.781 0.787 0.660
5 N 0.176 0.612 0.383
6 N 0.421 0.079 0.849
7 N 0.653 0.434 0.838
8 N 0.853 0.177 0.367
9 O 0.069 0.654 0.874
10 O 0.605 0.850 0.357

(10)
This record from OQMD describes a relaxed PrBiN2O crystal. The functional is PBE.

Results
For the electronic total energy, the calculation gives -6.590 eV per atom.

Lattice parameters (Å, degrees): 5.955 5.991 10.284 89.10 73.25 60.29
Positions (direct):
1 Pr 0.000 0.000 0.000
2 Pr 0.008 0.486 0.490
3 Pr 0.443 0.248 0.744
4 Pr 0.466 0.740 0.244
5 Bi 0.204 0.880 0.632
6 Bi 0.219 0.387 0.118
7 Bi 0.732 0.608 0.864
8 Bi 0.754 0.113 0.370
9 N 0.047 0.388 0.960
10 N 0.048 0.629 0.703
11 N 0.067 0.141 0.211
12 N 0.072 0.873 0.457
13 N 0.396 0.865 0.784
14 N 0.406 0.610 0.035
15 N 0.852 0.260 0.729
16 N 0.865 0.742 0.263
17 O 0.416 0.106 0.525
18 O 0.426 0.343 0.283
19 O 0.593 0.998 0.004
20 O 0.594 0.496 0.492

(11)
This record from OQMD describes a relaxed PrBiN2O crystal. The functional is PBE.

Results
For the electronic total energy, the calculation gives -6.592 eV per atom.

Lattice parameters (Å, degrees): 6.003 6.003 6.003 88.44 120.64 121.17
Positions (direct):
1 Pr 0.024 0.250 0.274
2 Pr 0.976 0.750 0.726
3 Bi 0.504 0.004 0.500
4 Bi 0.504 0.504 0.000
5 N 0.005 0.180 0.678
6 N 0.005 0.827 0.325
7 N 0.502 0.327 0.322
8 N 0.502 0.680 0.675
9 O 0.400 0.771 0.130
10 O 0.641 0.271 0.870

(12)
This record from OQMD describes a relaxed PrBiN2O crystal. The functional is PBE.

Results
For the electronic total energy, the calculation gives -6.634 eV per atom.

Lattice parameters (Å, degrees): 8.506 8.267 11.907 90.00 133.90 90.00
Positions (direct):
1 Pr 0.050 0.247 0.030
2 Pr 0.050 0.253 0.530
3 Pr 0.445 0.735 0.482
4 Pr 0.445 0.765 0.982
5 Pr 0.555 0.235 0.018
6 Pr 0.555 0.265 0.518
7 Pr 0.950 0.747 0.470
8 Pr 0.950 0.753 0.970
9 Bi 0.021 0.006 0.264
10 Bi 0.021 0.494 0.764
11 Bi 0.499 0.503 0.241
12 Bi 0.499 0.997 0.741
13 Bi 0.501 0.003 0.259
14 Bi 0.501 0.497 0.759
15 Bi 0.979 0.506 0.236
16 Bi 0.979 0.994 0.736
17 N 0.057 0.743 0.719
18 N 0.057 0.757 0.219
19 N 0.199 0.566 0.003
20 N 0.199 0.934 0.503
21 N 0.286 0.084 0.288
22 N 0.286 0.416 0.788
23 N 0.446 0.249 0.663
24 N 0.446 0.251 0.163
25 N 0.554 0.749 0.837
26 N 0.554 0.751 0.337
27 N 0.714 0.584 0.212
28 N 0.714 0.916 0.712
29 N 0.801 0.066 0.497
30 N 0.801 0.434 0.997
31 N 0.943 0.243 0.781
32 N 0.943 0.257 0.281
33 O 0.204 0.556 0.502
34 O 0.204 0.944 0.002
35 O 0.314 0.037 0.816
36 O 0.314 0.463 0.316
37 O 0.686 0.537 0.684
38 O 0.686 0.963 0.184
39 O 0.796 0.056 0.998
40 O 0.796 0.444 0.498

(13)
This record from OQMD describes a relaxed PrBiN2O crystal. The functional is PBE.

Results
For the electronic total energy, the calculation gives -6.649 eV per atom.

Lattice parameters (Å, degrees): 8.059 8.660 8.756 87.73 89.80 88.98
Positions (direct):
1 Pr 0.000 0.000 0.000
2 Pr 0.014 0.542 0.060
3 Pr 0.052 0.506 0.488
4 Pr 0.066 0.048 0.549
5 Pr 0.490 0.518 0.049
6 Pr 0.518 0.963 0.002
7 Pr 0.548 0.085 0.546
8 Pr 0.575 0.529 0.499
9 Bi 0.283 0.287 0.799
10 Bi 0.284 0.746 0.751
11 Bi 0.286 0.788 0.302
12 Bi 0.290 0.243 0.257
13 Bi 0.775 0.805 0.291
14 Bi 0.780 0.260 0.247
15 Bi 0.782 0.302 0.797
16 Bi 0.782 0.760 0.749
17 N 0.026 0.792 0.376
18 N 0.031 0.196 0.792
19 N 0.034 0.851 0.757
20 N 0.040 0.256 0.173
21 N 0.232 0.523 0.869
22 N 0.307 0.660 0.528
23 N 0.320 0.019 0.375
24 N 0.388 0.225 0.023
25 N 0.532 0.324 0.700
26 N 0.533 0.321 0.328
27 N 0.533 0.727 0.220
28 N 0.534 0.723 0.848
29 N 0.677 0.823 0.525
30 N 0.745 0.029 0.174
31 N 0.758 0.388 0.021
32 N 0.833 0.524 0.679
33 O 0.228 0.287 0.521
34 O 0.237 0.841 0.054
35 O 0.239 0.525 0.234
36 O 0.336 0.013 0.735
37 O 0.730 0.034 0.813
38 O 0.826 0.523 0.314
39 O 0.828 0.207 0.494
40 O 0.837 0.761 0.029

(14)
This record from OQMD describes a relaxed PrBiN2O crystal. The functional is PBE.

Results
For the electronic total energy, the calculation gives -6.638 eV per atom.

Lattice parameters (Å, degrees): 8.533 5.856 6.001 90.00 90.00 90.00
Positions (direct):
1 Pr 0.000 0.230 0.000
2 Pr 0.000 0.770 0.500
3 Pr 0.500 0.270 0.119
4 Pr 0.500 0.730 0.619
5 Bi 0.250 0.250 0.559
6 Bi 0.250 0.750 0.059
7 Bi 0.750 0.250 0.559
8 Bi 0.750 0.750 0.059
9 N 0.187 0.052 0.259
10 N 0.187 0.948 0.759
11 N 0.314 0.449 0.858
12 N 0.314 0.551 0.358
13 N 0.686 0.449 0.858
14 N 0.686 0.551 0.358
15 N 0.813 0.052 0.259
16 N 0.813 0.948 0.759
17 O 0.000 0.375 0.605
18 O 0.000 0.625 0.105
19 O 0.500 0.127 0.514
20 O 0.500 0.873 0.014

(15)
This record from OQMD describes a relaxed ReBiNO crystal. The functional is PBE.

Results
The energy above the most stable polymorph in this dataset comes out at 514 meV per atom.

Lattice parameters (Å, degrees): 4.242 4.242 8.237 90.00 90.00 97.37
Positions (direct):
1 Re 0.250 0.750 0.949
2 Re 0.750 0.250 0.051
3 Bi 0.250 0.250 0.500
4 Bi 0.750 0.750 0.500
5 N 0.250 0.750 0.740
6 N 0.750 0.250 0.260
7 O 0.250 0.250 0.000
8 O 0.750 0.750 0.000

(16)
This record from OQMD describes a relaxed ReBiNO crystal. The functional is PBE.

Results
The energy above the most stable polymorph in this dataset comes out at 152 meV per atom.

Lattice parameters (Å, degrees): 3.933 3.933 7.959 90.00 90.00 90.00
Positions (direct):
1 Re 0.250 0.750 0.000
2 Re 0.750 0.250 0.000
3 Bi 0.250 0.250 0.341
4 Bi 0.750 0.750 0.659
5 N 0.250 0.250 0.914
6 N 0.750 0.750 0.086
7 O 0.250 0.750 0.500
8 O 0.750 0.250 0.500